Material: Ba10Ru3WCl4O18
Method: DFT, PBE+U
State: relaxed

Cell: 5.9539 5.9539 25.1771 Å, 90.00 90.00 120.00°
Space group P3m1 (No. 156)
Asymmetric unit:
Ba 0.0000 0.0000 0.0000
Ba 0.0000 0.0000 0.1578
Ba 0.0000 0.0000 0.4121
Ba 0.0000 0.0000 0.5730
Ba 0.0000 0.0000 0.7462
Ba 0.6667 0.3333 0.0790
Ba 0.6667 0.3333 0.2466
Ba 0.6667 0.3333 0.4979
Ba 0.6667 0.3333 0.6586
Ba 0.6667 0.3333 0.9120
Ru 0.3333 0.6667 0.0222
Ru 0.3333 0.6667 0.1354
Ru 0.3333 0.6667 0.5253
W 0.3333 0.6667 0.6322
Cl 0.0000 0.0000 0.2832
Cl 0.0000 0.0000 0.8729
Cl 0.6667 0.3333 0.3738
Cl 0.6667 0.3333 0.7824
O 0.0136 0.5068 0.1732
O 0.0140 0.5070 0.9841
O 0.0188 0.5094 0.5813
O 0.1732 0.3464 0.4859
O 0.1759 0.3517 0.6719
O 0.1827 0.3653 0.0786

Results
As for the total DFT energy (no corrections): -6.401 eV per atom.